The following is a PBE calculation of a geometry-optimized KHg2Te structure, from Alexandria.

Results
**Raw total energy**: -1.5373 eV per atom
**Crystal system**: monoclinic

a b c (Å): 14.0018 3.3200 6.2269
angles (deg): 90.00 115.43 90.00
Space group C2/m (No. 12)
Inequivalent atoms, fractional coordinates:
K  0.0000  0.0000  0.0000 [2 per cell]
Hg  0.2445  0.0000  0.7449 [4 per cell]
Te  0.0000  0.5000  0.5000 [2 per cell]



The following is a PBE calculation of a geometry-optimized K2Hg2Te structure, from Alexandria.

Results
**Crystal system**: tetragonal
**Offset from the most stable computed form**: 0.190 eV/f.u.

a b c (Å): 8.8332 8.8332 5.3873
angles (deg): 90.00 90.00 90.00
Space group P4/mbm (No. 127)
Inequivalent atoms, fractional coordinates:
K  0.1610  0.3390  0.0000 [4 per cell]
Hg  0.1421  0.6421  0.5000 [4 per cell]
Te  0.0000  0.0000  0.0000 [2 per cell]